Below is a geometry-optimized LiCr3F structure, with properties calculated at the GGA+U level.

a = 4.7682 Å, b = 4.7682 Å, c = 4.7682 Å
α = 90.00°, β = 90.00°, γ = 90.00°
Closest atoms and distances in Å follow each position.
Positions (direct):
Li  0.0000  0.0000  0.0000  6 Cr 2.38
Cr  0.0000  0.0000  0.5000  2 Li 2.38
Cr  0.0000  0.5000  0.0000  2 Li 2.38
Cr  0.5000  0.0000  0.0000  2 Li 2.38
F  0.5000  0.5000  0.5000  12 Cr 3.37

* total magnetic moment: 14.00 μB per cell
* Fermi-level density of states: 1.0 states/eV/cell
* VASP energy: -4.491 eV per atom
* symmetry: No. 221